Compound: NdDyHo
Source: OQMD
Functional: PBE
Structure: relaxed

## Properties
Space-group type: No. 216
DFT formation energy in eV/atom: 0.71
Uncorrected energy in eV per atom: -3.9358
Total magnetization in μB/f.u.: 0.0

a b c (Å): 5.454 5.454 5.454
angles (deg): 60.00 60.00 60.00
Sites, in units of the cell vectors:
Nd: 0.750 0.750 0.750
Dy: 0.250 0.250 0.250
Ho: 0.000 0.000 0.000